{
  "formula": "ZrTiCo2",
  "functional": "PBE",
  "state": "optimized geometry",
  "lattice": [[3.998, 0.000, 0.000], [0.000, 4.607, -1.515], [0.000, -0.193, 6.548]],
  "species": ["Co", "Co", "Co", "Co", "Ti", "Ti", "Zr", "Zr"],
  "frac_coords": [[0.250, 0.833, 0.244], [0.250, 0.830, 0.670], [0.750, 0.170, 0.330], [0.750, 0.167, 0.756], [0.250, 0.299, 0.572], [0.750, 0.701, 0.428], [0.250, 0.281, 0.074], [0.750, 0.719, 0.926]],
  "polymorph_energy_ev_per_fu": 0.00,
  "formation_enthalpy_0k_ev_per_atom": -0.324,
  "space_group": "P2_1/m (11)",
  "m_tot_mub_per_cell": 0.00,
  "e_tot_ev_per_cell": -63.90
}